1.
Material: Li5CuF8
Method: DFT, PBEsol
State: optimized geometry

Cell: 4.9774 4.9774 5.8012 Å, 90.00 90.00 110.26°
Fractional coordinates of all 14 atoms:
Li (0.0000, 0.0000, 0.0000)
Li (0.0000, 0.5000, 0.2294)
Li (0.0000, 0.5000, 0.7706)
Li (0.5000, 0.0000, 0.2294)
Li (0.5000, 0.0000, 0.7706)
Cu (0.0000, 0.0000, 0.5000)
F (0.2273, 0.2273, 0.2617)
F (0.2273, 0.2273, 0.7383)
F (0.2330, 0.7670, 0.5000)
F (0.2358, 0.7642, 0.0000)
F (0.7642, 0.2358, 0.0000)
F (0.7670, 0.2330, 0.5000)
F (0.7727, 0.7727, 0.2617)
F (0.7727, 0.7727, 0.7383)

Values from the calculation:
As for the space group: No. 65. The distance to the lowest polymorph of the same formula is 0.192 eV/f.u.

---

2.
Material: LiCu3F
Method: DFT, PBEsol
State: optimized geometry

Cell: 4.0682 4.0682 4.0682 Å, 90.00 90.00 90.00°
Fractional coordinates of all 5 atoms:
Li (0.0000, 0.0000, 0.0000)
Cu (0.0000, 0.0000, 0.5000)
Cu (0.0000, 0.5000, 0.0000)
Cu (0.5000, 0.0000, 0.0000)
F (0.5000, 0.5000, 0.5000)

Values from the calculation:
The density of states at the Fermi level is 1.2 states/eV per cell. As for the space group: No. 221.

---

3.
Material: Li2CuF
Method: DFT, PBEsol
State: optimized geometry

Cell: 4.1774 4.1774 4.1774 Å, 60.00 60.00 60.00°
Fractional coordinates of all 4 atoms:
Li (0.2500, 0.2500, 0.2500)
Li (0.7500, 0.7500, 0.7500)
Cu (0.0000, 0.0000, 0.0000)
F (0.5000, 0.5000, 0.5000)

Values from the calculation:
As for the space group: No. 225.

---

4.
Material: Li2Cu2F7
Method: DFT, PBEsol
State: optimized geometry

Cell: 5.2423 6.4018 8.5313 Å, 73.26 72.97 84.34°
Fractional coordinates of all 22 atoms:
Li (0.0565, 0.2379, 0.3558)
Li (0.4003, 0.5820, 0.7230)
Li (0.5997, 0.4180, 0.2770)
Li (0.9435, 0.7621, 0.6442)
Cu (0.2032, 0.9945, 0.8258)
Cu (0.2786, 0.7887, 0.2971)
Cu (0.7214, 0.2113, 0.7029)
Cu (0.7968, 0.0055, 0.1742)
F (0.0742, 0.1132, 0.6063)
F (0.0996, 0.7233, 0.8344)
F (0.1735, 0.9046, 0.0832)
F (0.2378, 0.4981, 0.2969)
F (0.3086, 0.7007, 0.5222)
F (0.3456, 0.2663, 0.8064)
F (0.4188, 0.0815, 0.2607)
F (0.5812, 0.9185, 0.7393)
F (0.6544, 0.7337, 0.1936)
F (0.6914, 0.2993, 0.4778)
F (0.7622, 0.5019, 0.7031)
F (0.8265, 0.0954, 0.9168)
F (0.9004, 0.2767, 0.1656)
F (0.9258, 0.8868, 0.3937)

Values from the calculation:
The density of states at the Fermi level is 6.4 states/eV per cell. As for the space group: No. 2. The distance to the lowest polymorph of the same formula is 0.000 eV/f.u.

---

5.
Material: Li2CuF5
Method: DFT, PBEsol
State: optimized geometry

Cell: 7.1466 5.2333 9.3666 Å, 90.00 90.00 90.00°
Fractional coordinates of all 32 atoms:
Li (0.0599, 0.2500, 0.2255)
Li (0.0793, 0.2500, 0.9290)
Li (0.4207, 0.7500, 0.4290)
Li (0.4401, 0.7500, 0.7255)
Li (0.5599, 0.2500, 0.2745)
Li (0.5793, 0.2500, 0.5710)
Li (0.9207, 0.7500, 0.0710)
Li (0.9401, 0.7500, 0.7745)
Cu (0.1794, 0.2500, 0.5470)
Cu (0.3206, 0.7500, 0.0470)
Cu (0.6794, 0.2500, 0.9530)
Cu (0.8206, 0.7500, 0.4530)
F (0.0000, 0.0000, 0.5000)
F (0.0000, 0.5000, 0.5000)
F (0.0936, 0.2500, 0.7294)
F (0.1348, 0.0052, 0.0868)
F (0.1348, 0.4948, 0.0868)
F (0.2389, 0.7500, 0.8576)
F (0.2611, 0.2500, 0.3576)
F (0.3652, 0.5052, 0.5868)
F (0.3652, 0.9948, 0.5868)
F (0.4064, 0.7500, 0.2294)
F (0.5000, 0.0000, 0.0000)
F (0.5000, 0.5000, 0.0000)
F (0.5936, 0.2500, 0.7706)
F (0.6348, 0.0052, 0.4132)
F (0.6348, 0.4948, 0.4132)
F (0.7389, 0.7500, 0.6424)
F (0.7611, 0.2500, 0.1424)
F (0.8652, 0.5052, 0.9132)
F (0.8652, 0.9948, 0.9132)
F (0.9064, 0.7500, 0.2706)

Values from the calculation:
The density of states at the Fermi level is 0.9 states/eV per cell. As for the space group: No. 62.

---

6.
Material: Li5CuF8
Method: DFT, PBEsol
State: optimized geometry

Cell: 5.8604 5.8604 5.8604 Å, 58.37 58.37 58.37°
Fractional coordinates of all 14 atoms:
Li (0.0000, 0.5000, 0.5000)
Li (0.1433, 0.1433, 0.1433)
Li (0.5000, 0.0000, 0.5000)
Li (0.5000, 0.5000, 0.0000)
Li (0.8567, 0.8567, 0.8567)
Cu (0.5000, 0.5000, 0.5000)
F (0.2664, 0.7323, 0.7323)
F (0.2676, 0.2676, 0.2676)
F (0.2677, 0.2677, 0.7336)
F (0.2677, 0.7336, 0.2677)
F (0.7323, 0.2664, 0.7323)
F (0.7323, 0.7323, 0.2664)
F (0.7324, 0.7324, 0.7324)
F (0.7336, 0.2677, 0.2677)

Values from the calculation:
As for the space group: No. 166. The distance to the lowest polymorph of the same formula is 0.000 eV/f.u.

---

Total moment for every record listed, in sequence, given in μB per cell: 2.0; 0.0; 0.0; 6.0; 0.0; 1.9.
Total DFT energy (no corrections) for every record listed, in sequence, given in eV per atom: -4.63; -2.70; -3.25; -4.33; -4.37; -4.64.
Raw formation energy for every record listed, in sequence, given in eV/atom: -2.51; 0.68; -0.71; -1.96; -2.13; -2.53.